[1]
# Be2CrCl

Be2CrCl after structural relaxation (PBE, the Alexandria database). Values from VASP.

## Properties
Density of states at the Fermi level: 3.81 states/eV/cell
E_form (uncorrected): 0.194 eV/atom
M_tot: 4.7 Bohr magnetons per cell

The structure in Quantum ESPRESSO input format:
```
&SYSTEM
  ibrav = 0, nat = 8, ntyp = 3
/
ATOMIC_SPECIES
Be 9.01 Be.upf
Cr 52.00 Cr.upf
Cl 35.45 Cl.upf
CELL_PARAMETERS angstrom
6.828 0.000 0.000
0.000 3.036 0.000
-0.576 0.000 5.616
ATOMIC_POSITIONS angstrom
Be 0.000 0.000 0.000
Be 1.394 1.518 0.671
Be 3.414 1.518 0.000
Be 4.808 0.000 0.671
Cr 2.752 0.000 1.709
Cr 6.166 1.518 1.709
Cl -0.224 0.000 3.599
Cl 3.190 1.518 3.599
```


[2]
# TiCd3Pt

TiCd3Pt after structural relaxation (PBE, the Alexandria database). Values from VASP.

## Properties
Density of states at the Fermi level: 5.73 states/eV/cell
M_tot: 0.0 Bohr magnetons per cell
DFT formation energy: 0.5649 eV/atom

The structure in Quantum ESPRESSO input format:
```
&SYSTEM
  ibrav = 0, nat = 5, ntyp = 3
/
ATOMIC_SPECIES
Ti 47.87 Ti.upf
Cd 112.41 Cd.upf
Pt 195.08 Pt.upf
CELL_PARAMETERS angstrom
5.087 0.000 0.000
0.000 5.087 0.000
0.000 0.000 5.087
ATOMIC_POSITIONS angstrom
Ti 0.000 0.000 0.000
Cd 0.000 2.543 2.543
Cd 2.543 0.000 2.543
Cd 2.543 2.543 0.000
Pt 2.543 2.543 2.543
```


[3]
# Ga3CuNi4

Ga3CuNi4 after structural relaxation (PBE, the Alexandria database). Values from VASP.

## Properties
Density of states at the Fermi level: 6.65 states/eV/cell
M_tot: 0.0 Bohr magnetons per cell
DFT formation energy: -0.3166 eV/atom

The structure in Quantum ESPRESSO input format:
```
&SYSTEM
  ibrav = 0, nat = 16, ntyp = 3
/
ATOMIC_SPECIES
Ga 69.72 Ga.upf
Cu 63.55 Cu.upf
Ni 58.69 Ni.upf
CELL_PARAMETERS angstrom
8.386 0.000 0.000
0.000 5.458 0.000
0.000 0.000 4.232
ATOMIC_POSITIONS angstrom
Ga 0.000 0.000 0.000
Ga 2.097 0.000 1.837
Ga 2.097 2.729 1.802
Ga 4.193 0.000 0.000
Ga 6.290 0.000 2.395
Ga 6.290 2.729 2.430
Cu 0.000 2.729 0.000
Cu 4.193 2.729 0.000
Ni 0.000 1.356 2.116
Ni 0.000 4.102 2.116
Ni 2.097 1.351 3.901
Ni 2.097 4.107 3.901
Ni 4.193 1.356 2.116
Ni 4.193 4.102 2.116
Ni 6.290 1.351 0.331
Ni 6.290 4.107 0.331
```